(1)
Pa2GePtN5: relaxed, PBE.

The space-group type is Cmc2_1, No. 36. For the volume, the calculation gives 239.36 Å³ per cell. The density comes out at 11.10 Mg/m³. The formation energy from raw total energies is -0.631 eV/atom. The total moment is 0.0 μB/f.u. Its total DFT energy (no corrections) is -8.551 eV/atom.

Cell: 6.983 6.983 10.184 Å, 90.00 90.00 151.18°
Element x y z (fractional)
Pa 0.130 0.870 0.500
Pa 0.142 0.858 0.055
Pa 0.858 0.142 0.555
Pa 0.870 0.130 0.000
Ge 0.478 0.522 0.260
Ge 0.522 0.478 0.760
Pt 0.252 0.748 0.785
Pt 0.748 0.252 0.285
N 0.086 0.914 0.805
N 0.293 0.707 0.458
N 0.305 0.695 0.107
N 0.398 0.602 0.847
N 0.481 0.519 0.582
N 0.519 0.481 0.082
N 0.602 0.398 0.347
N 0.695 0.305 0.607
N 0.707 0.293 0.958
N 0.914 0.086 0.305

(2)
PaGePtN: relaxed, PBE.

The space-group type is P4/nmm, No. 129. For the volume, the calculation gives 136.49 Å³ per cell. The density comes out at 12.48 Mg/m³. The formation energy from raw total energies is -1.048 eV/atom. The total moment is 0.0 μB/f.u. Its total DFT energy (no corrections) is -8.168 eV/atom.

Cell: 4.145 4.145 7.943 Å, 90.00 90.00 90.00°
Element x y z (fractional)
Pa 0.250 0.250 0.133
Pa 0.750 0.750 0.867
Ge 0.250 0.750 0.500
Ge 0.750 0.250 0.500
Pt 0.250 0.250 0.677
Pt 0.750 0.750 0.323
N 0.250 0.750 0.000
N 0.750 0.250 0.000

(3)
Pu2Pa4Ge3N2: relaxed, PBE.

The space-group type is I4/mmm, No. 139. For the volume, the calculation gives 248.47 Å³ per cell. The density comes out at 11.08 Mg/m³. The formation energy from raw total energies is -0.718 eV/atom. The total moment is 13.1 μB/f.u. Its total DFT energy (no corrections) is -9.549 eV/atom.

Cell: 12.251 12.251 12.251 Å, 158.43 158.43 30.70°
Element x y z (fractional)
Pu 0.201 0.201 0.000
Pu 0.799 0.799 0.000
Pa 0.084 0.584 0.500
Pa 0.416 0.916 0.500
Pa 0.584 0.084 0.500
Pa 0.916 0.416 0.500
Ge 0.329 0.329 0.000
Ge 0.500 0.500 0.000
Ge 0.671 0.671 0.000
N 0.091 0.091 0.000
N 0.909 0.909 0.000

(4)
Rb4Pa3GeN8: relaxed, PBE.

The space-group type is C2/m, No. 12. For the volume, the calculation gives 294.04 Å³ per cell. The density comes out at 6.89 Mg/m³. The formation energy from raw total energies is -0.625 eV/atom. The total moment is 0.0 μB/f.u. Its total DFT energy (no corrections) is -7.098 eV/atom.

Cell: 7.213 7.213 7.806 Å, 115.82 115.82 56.38°
Element x y z (fractional)
Rb 0.000 0.000 0.000
Rb 0.000 0.500 0.000
Rb 0.500 0.000 0.000
Rb 0.500 0.500 0.000
Pa 0.000 0.000 0.500
Pa 0.000 0.500 0.500
Pa 0.500 0.000 0.500
Ge 0.500 0.500 0.500
N 0.210 0.210 0.656
N 0.240 0.240 0.315
N 0.245 0.693 0.646
N 0.307 0.755 0.354
N 0.693 0.245 0.646
N 0.755 0.307 0.354
N 0.760 0.760 0.685
N 0.790 0.790 0.344

(5)
RbPaGeN4: relaxed, PBE.

The space-group type is P2_1/m, No. 11. For the volume, the calculation gives 251.32 Å³ per cell. The density comes out at 5.88 Mg/m³. The formation energy from raw total energies is -0.193 eV/atom. The total moment is 0.0 μB/f.u. Its total DFT energy (no corrections) is -7.105 eV/atom.

Cell: 5.554 5.732 8.064 Å, 90.00 101.79 90.00°
Element x y z (fractional)
Rb 0.177 0.250 0.095
Rb 0.823 0.750 0.905
Pa 0.188 0.750 0.455
Pa 0.812 0.250 0.545
Ge 0.368 0.250 0.676
Ge 0.632 0.750 0.324
N 0.139 0.006 0.665
N 0.139 0.494 0.665
N 0.310 0.750 0.209
N 0.422 0.250 0.445
N 0.578 0.750 0.555
N 0.690 0.250 0.791
N 0.861 0.506 0.335
N 0.861 0.994 0.335

(6)
RbPaGeN3: relaxed, PBE.

The space-group type is P2_1/m, No. 11. For the volume, the calculation gives 245.62 Å³ per cell. The density comes out at 5.83 Mg/m³. The formation energy from raw total energies is -0.553 eV/atom. The total moment is 0.2 μB/f.u. Its total DFT energy (no corrections) is -7.229 eV/atom.

Cell: 8.182 3.743 8.409 Å, 90.00 107.49 90.00°
Element x y z (fractional)
Rb 0.195 0.250 0.222
Rb 0.805 0.750 0.778
Pa 0.346 0.750 0.849
Pa 0.654 0.250 0.151
Ge 0.101 0.250 0.598
Ge 0.899 0.750 0.402
N 0.157 0.750 0.534
N 0.165 0.250 0.834
N 0.476 0.750 0.118
N 0.524 0.250 0.882
N 0.835 0.750 0.166
N 0.843 0.250 0.466

(7)
PaGeRhN: relaxed, PBE.

The space-group type is P4/nmm, No. 129. For the volume, the calculation gives 130.90 Å³ per cell. The density comes out at 10.67 Mg/m³. The formation energy from raw total energies is -1.190 eV/atom. The total moment is 0.0 μB/f.u. Its total DFT energy (no corrections) is -8.637 eV/atom.

Cell: 4.045 4.045 7.999 Å, 90.00 90.00 90.00°
Element x y z (fractional)
Pa 0.250 0.250 0.140
Pa 0.750 0.750 0.860
Ge 0.250 0.250 0.673
Ge 0.750 0.750 0.327
Rh 0.250 0.750 0.500
Rh 0.750 0.250 0.500
N 0.250 0.750 0.000
N 0.750 0.250 0.000

(8)
Pa2GeRhN5: relaxed, PBE.

The space-group type is Cmc2_1, No. 36. For the volume, the calculation gives 220.71 Å³ per cell. The density comes out at 10.65 Mg/m³. The formation energy from raw total energies is -0.715 eV/atom. The total moment is 0.7 μB/f.u. Its total DFT energy (no corrections) is -8.780 eV/atom.

Cell: 7.209 7.209 9.522 Å, 90.00 90.00 153.51°
Element x y z (fractional)
Pa 0.131 0.869 0.500
Pa 0.138 0.862 0.083
Pa 0.862 0.138 0.583
Pa 0.869 0.131 0.000
Ge 0.485 0.515 0.271
Ge 0.515 0.485 0.771
Rh 0.221 0.779 0.795
Rh 0.779 0.221 0.295
N 0.068 0.932 0.836
N 0.290 0.710 0.452
N 0.295 0.705 0.141
N 0.380 0.620 0.810
N 0.497 0.503 0.074
N 0.503 0.497 0.574
N 0.620 0.380 0.310
N 0.705 0.295 0.641
N 0.710 0.290 0.952
N 0.932 0.068 0.336

Repeat the sixth record exactly.
RbPaGeN3: relaxed, PBE.

The space-group type is P2_1/m, No. 11. For the volume, the calculation gives 245.62 Å³ per cell. The density comes out at 5.83 Mg/m³. The formation energy from raw total energies is -0.553 eV/atom. The total moment is 0.2 μB/f.u. Its total DFT energy (no corrections) is -7.229 eV/atom.

Cell: 8.182 3.743 8.409 Å, 90.00 107.49 90.00°
Element x y z (fractional)
Rb 0.195 0.250 0.222
Rb 0.805 0.750 0.778
Pa 0.346 0.750 0.849
Pa 0.654 0.250 0.151
Ge 0.101 0.250 0.598
Ge 0.899 0.750 0.402
N 0.157 0.750 0.534
N 0.165 0.250 0.834
N 0.476 0.750 0.118
N 0.524 0.250 0.882
N 0.835 0.750 0.166
N 0.843 0.250 0.466

> Which value of density does entry 5 give?

5.88 Mg/m³

> Among the records above, which one has the highest total moment?

Pu2Pa4Ge3N2